(1)
A plane-wave DFT calculation with meta-GGA SCAN was carried out for a crystal of Mn2TlOs relaxed with PBEsol.

a = 4.573 Å, b = 4.573 Å, c = 4.841 Å
α = 100.22°, β = 100.22°, γ = 36.22°
Element x y z (fractional)
Mn 0.240 0.240 0.185
Mn 0.760 0.760 0.815
Tl 0.000 0.000 0.500
Os 0.500 0.500 0.000

Results
ΔE to the lowest computed polymorph: 0.423 eV/atom
total magnetization: 4.9 μB per cell

=====

(2)
A plane-wave DFT calculation with meta-GGA SCAN was carried out for a crystal of CaNiSb2 relaxed with PBEsol.

a = 6.902 Å, b = 6.902 Å, c = 6.902 Å
α = 34.04°, β = 34.04°, γ = 34.04°
Element x y z (fractional)
Ca 0.000 0.000 0.000
Ni 0.500 0.500 0.500
Sb 0.225 0.225 0.225
Sb 0.775 0.775 0.775

Results
total magnetization: 0.0 μB per cell
ΔE_f (raw): -0.469 eV/atom

=====

(3)
A plane-wave DFT calculation with meta-GGA SCAN was carried out for a crystal of MnAl relaxed with PBEsol.

a = 8.348 Å, b = 8.348 Å, c = 8.348 Å
α = 18.30°, β = 18.30°, γ = 18.30°
Element x y z (fractional)
Mn 0.131 0.131 0.131
Mn 0.869 0.869 0.869
Al 0.382 0.382 0.382
Al 0.618 0.618 0.618

Results
total energy: -25.9 eV per formula unit
total magnetization: 0.0 μB per cell

=====

(4)
A plane-wave DFT calculation with meta-GGA SCAN was carried out for a crystal of BaTaPd3 relaxed with PBEsol.

a = 4.938 Å, b = 4.938 Å, c = 4.938 Å
α = 90.00°, β = 90.00°, γ = 90.00°
Element x y z (fractional)
Ba 0.000 0.000 0.000
Ta 0.500 0.500 0.500
Pd 0.000 0.500 0.500
Pd 0.500 0.000 0.500
Pd 0.500 0.500 0.000

Results
total energy: -203.8 eV per formula unit
total magnetization: 0.0 μB per cell

=====

(5)
A plane-wave DFT calculation with meta-GGA SCAN was carried out for a crystal of CsTl2Hg relaxed with PBEsol.

a = 5.656 Å, b = 5.656 Å, c = 5.656 Å
α = 60.00°, β = 60.00°, γ = 60.00°
Element x y z (fractional)
Cs 0.000 0.000 0.000
Tl 0.250 0.250 0.250
Tl 0.750 0.750 0.750
Hg 0.500 0.500 0.500

Results
total energy: -250.7 eV per formula unit
total magnetization: 0.0 μB per cell

=====

(6)
A plane-wave DFT calculation with meta-GGA SCAN was carried out for a crystal of Si2AsP relaxed with PBEsol.

a = 3.094 Å, b = 3.094 Å, c = 6.338 Å
α = 90.00°, β = 90.00°, γ = 90.00°
Element x y z (fractional)
Si 0.000 0.000 0.219
Si 0.000 0.000 0.781
As 0.500 0.500 0.500
P 0.500 0.500 0.000

Results
ΔE to the lowest computed polymorph: 0.000 eV/atom
total magnetization: 0.0 μB per cell
ΔE_f (raw): 0.636 eV/atom

=====

(7)
A plane-wave DFT calculation with meta-GGA SCAN was carried out for a crystal of LaCeHg2 relaxed with PBEsol.

a = 5.359 Å, b = 5.359 Å, c = 5.359 Å
α = 60.00°, β = 60.00°, γ = 60.00°
Element x y z (fractional)
La 0.000 0.000 0.000
Ce 0.500 0.500 0.500
Hg 0.250 0.250 0.250
Hg 0.750 0.750 0.750

Results
total energy: -226.4 eV per formula unit
total magnetization: 1.6 μB per cell

=====

(8)
A plane-wave DFT calculation with meta-GGA SCAN was carried out for a crystal of AlHg2SbCl4 relaxed with PBEsol.

a = 11.953 Å, b = 8.809 Å, c = 17.766 Å
α = 90.00°, β = 90.00°, γ = 90.00°
Element x y z (fractional)
Al 0.105 0.087 0.123
Al 0.105 0.913 0.623
Al 0.395 0.413 0.623
Al 0.395 0.587 0.123
Al 0.605 0.413 0.877
Al 0.605 0.587 0.377
Al 0.895 0.087 0.377
Al 0.895 0.913 0.877
Hg 0.000 0.468 0.750
Hg 0.000 0.500 0.000
Hg 0.000 0.500 0.500
Hg 0.000 0.532 0.250
Hg 0.235 0.176 0.877
Hg 0.235 0.824 0.377
Hg 0.265 0.324 0.377
Hg 0.265 0.676 0.877
Hg 0.500 0.000 0.000
Hg 0.500 0.000 0.500
Hg 0.500 0.032 0.250
Hg 0.500 0.968 0.750
Hg 0.735 0.324 0.123
Hg 0.735 0.676 0.623
Hg 0.765 0.176 0.623
Hg 0.765 0.824 0.123
Sb 0.122 0.439 0.876
Sb 0.122 0.561 0.376
Sb 0.378 0.061 0.376
Sb 0.378 0.939 0.876
Sb 0.622 0.061 0.124
Sb 0.622 0.939 0.624
Sb 0.878 0.439 0.624
Sb 0.878 0.561 0.124
Cl 0.039 0.165 0.439
Cl 0.039 0.835 0.939
Cl 0.073 0.137 0.662
Cl 0.073 0.863 0.162
Cl 0.141 0.239 0.215
Cl 0.141 0.761 0.715
Cl 0.248 0.093 0.049
Cl 0.248 0.907 0.549
Cl 0.252 0.407 0.549
Cl 0.252 0.593 0.049
Cl 0.359 0.261 0.715
Cl 0.359 0.739 0.215
Cl 0.427 0.363 0.162
Cl 0.427 0.637 0.662
Cl 0.461 0.335 0.939
Cl 0.461 0.665 0.439
Cl 0.539 0.335 0.561
Cl 0.539 0.665 0.061
Cl 0.573 0.363 0.338
Cl 0.573 0.637 0.838
Cl 0.641 0.261 0.785
Cl 0.641 0.739 0.285
Cl 0.748 0.407 0.951
Cl 0.748 0.593 0.451
Cl 0.752 0.093 0.451
Cl 0.752 0.907 0.951
Cl 0.859 0.239 0.285
Cl 0.859 0.761 0.785
Cl 0.927 0.137 0.838
Cl 0.927 0.863 0.338
Cl 0.961 0.165 0.061
Cl 0.961 0.835 0.561

Results
total magnetization: 0.0 μB per cell
ΔE_f (raw): -1.086 eV/atom

=====

(9)
A plane-wave DFT calculation with meta-GGA SCAN was carried out for a crystal of NbTlCl2 relaxed with PBEsol.

a = 10.089 Å, b = 10.089 Å, c = 10.089 Å
α = 18.46°, β = 18.46°, γ = 18.46°
Element x y z (fractional)
Nb 0.000 0.000 0.000
Tl 0.500 0.500 0.500
Cl 0.078 0.078 0.078
Cl 0.922 0.922 0.922

Results
total magnetization: 0.0 μB per cell
ΔE_f (raw): -0.447 eV/atom

=====

(10)
A plane-wave DFT calculation with meta-GGA SCAN was carried out for a crystal of Li2P7H27N9 relaxed with PBEsol.

a = 9.210 Å, b = 9.427 Å, c = 13.195 Å
α = 98.20°, β = 92.60°, γ = 118.78°
Element x y z (fractional)
Li 0.097 0.213 0.374
Li 0.336 0.637 0.922
Li 0.664 0.363 0.078
Li 0.903 0.787 0.626
P 0.146 0.647 0.266
P 0.267 0.867 0.202
P 0.351 0.701 0.381
P 0.372 0.936 0.457
P 0.435 0.228 0.701
P 0.440 0.074 0.331
P 0.457 0.054 0.777
P 0.543 0.946 0.223
P 0.560 0.926 0.669
P 0.565 0.772 0.299
P 0.628 0.064 0.543
P 0.649 0.299 0.619
P 0.733 0.133 0.798
P 0.854 0.353 0.734
H 0.003 0.868 0.116
H 0.034 0.905 0.316
H 0.037 0.938 0.440
H 0.040 0.602 0.642
H 0.058 0.636 0.871
H 0.063 0.011 0.922
H 0.114 0.701 0.546
H 0.129 0.093 0.636
H 0.146 0.766 0.983
H 0.166 0.242 0.176
H 0.175 0.455 0.745
H 0.182 0.158 0.861
H 0.192 0.797 0.666
H 0.220 0.823 0.875
H 0.226 0.375 0.011
H 0.232 0.363 0.570
H 0.240 0.533 0.094
H 0.296 0.409 0.258
H 0.311 0.239 0.252
H 0.326 0.473 0.483
H 0.329 0.187 0.024
H 0.349 0.441 0.755
H 0.355 0.609 0.727
H 0.366 0.326 0.510
H 0.389 0.075 0.081
H 0.407 0.522 0.077
H 0.434 0.110 0.964
H 0.566 0.890 0.036
H 0.593 0.478 0.923
H 0.611 0.925 0.919
H 0.634 0.674 0.490
H 0.645 0.391 0.273
H 0.651 0.559 0.245
H 0.671 0.813 0.976
H 0.674 0.527 0.517
H 0.689 0.761 0.748
H 0.704 0.591 0.742
H 0.760 0.467 0.906
H 0.768 0.637 0.430
H 0.774 0.625 0.989
H 0.780 0.177 0.125
H 0.808 0.203 0.334
H 0.818 0.842 0.139
H 0.825 0.545 0.255
H 0.834 0.758 0.824
H 0.854 0.234 0.017
H 0.871 0.907 0.364
H 0.886 0.299 0.454
H 0.937 0.989 0.078
H 0.942 0.364 0.129
H 0.960 0.398 0.358
H 0.963 0.062 0.560
H 0.966 0.095 0.684
H 0.997 0.132 0.884
N 0.000 0.035 0.626
N 0.000 0.965 0.374
N 0.081 0.713 0.619
N 0.101 0.131 0.916
N 0.170 0.725 0.913
N 0.227 0.282 0.249
N 0.273 0.356 0.500
N 0.298 0.501 0.038
N 0.302 0.520 0.771
N 0.427 0.164 0.036
N 0.573 0.836 0.964
N 0.698 0.480 0.229
N 0.702 0.499 0.962
N 0.727 0.644 0.500
N 0.773 0.718 0.751
N 0.830 0.275 0.087
N 0.899 0.869 0.084
N 0.919 0.287 0.381

Results
total energy: -271.6 eV per formula unit
total magnetization: 0.0 μB per cell

=====

(11)
A plane-wave DFT calculation with meta-GGA SCAN was carried out for a crystal of AuSe2Br relaxed with PBEsol.

a = 3.678 Å, b = 3.678 Å, c = 7.769 Å
α = 90.00°, β = 90.00°, γ = 90.00°
Element x y z (fractional)
Au 0.000 0.000 0.000
Se 0.000 0.000 0.678
Se 0.500 0.500 0.610
Br 0.500 0.500 0.117

Results
total magnetization: 0.0 μB per cell
ΔE_f (raw): 0.183 eV/atom